Density functional theory data (PBE-GGA) for a relaxed LiY2Ta crystal.

a = 5.1700 Å, b = 5.1700 Å, c = 5.1700 Å
α = 60.00°, β = 60.00°, γ = 60.00°
Fractional coordinates of all 4 atoms:
Li (0.0000, 0.0000, 0.0000)
Y (0.2500, 0.2500, 0.2500)
Y (0.7500, 0.7500, 0.7500)
Ta (0.5000, 0.5000, 0.5000)

Theoretical density (Mg/m³): 6.2
Calculated formation energy (kJ/mol of atoms): 37.9
Relative energy among the computed polymorphs (meV per atom): 142
Symmetry: No. 225
V (Å³/f.u.): 97.7